The following is a PBE-GGA calculation of a relaxed YNp crystal, from OQMD via LeMat-Bulk.

Computed properties:
As for the formation energy: 0.4911 eV per atom. The energy above the most stable polymorph in this dataset comes out at 0.000 eV/atom.

abc: 3.3448 3.3448 5.7864
angles: 90.00 90.00 120.00
Closest atoms and distances in Å follow each position.
Fractional positions:
Y 0.0000 0.0000 0.0000  6 Y 3.34, 6 Np 3.48
Np 0.3333 0.6667 0.5000  6 Np 3.34, 6 Y 3.48